Entry from Alexandria via LeMat-Bulk: a PBEsol-optimized structure of Ni8Ru (SCAN).

Cell lengths 5.537, 5.537, 5.537 Å; angles 95.75, 95.75, 143.09 degrees
Positions (direct):
Ni (0.000, 0.335, 0.335)
Ni (0.000, 0.665, 0.665)
Ni (0.332, 0.332, 0.665)
Ni (0.332, 0.668, 0.000)
Ni (0.335, 0.000, 0.335)
Ni (0.665, 0.000, 0.665)
Ni (0.668, 0.332, 0.000)
Ni (0.668, 0.668, 0.335)
Ru (0.000, 0.000, 0.000)

Calculated values
E_form (eV/atom): 0.04
Calculated volume (Å³/atom): 10.75
SG: I4/mmm

Entry from Alexandria via LeMat-Bulk: a PBEsol-optimized structure of CdCu2As (SCAN).

Cell lengths 4.010, 4.010, 3.747 Å; angles 90.00, 90.00, 90.00 degrees
Positions (direct):
Cd (0.000, 0.000, 0.000)
Cu (0.000, 0.500, 0.500)
Cu (0.500, 0.000, 0.500)
As (0.500, 0.500, 0.000)

Calculated values
E_form (eV/atom): 0.15
Calculated volume (Å³/atom): 15.06
SG: P4/mmm

Entry from Alexandria via LeMat-Bulk: a PBEsol-optimized structure of Al5P4 (SCAN).

Cell lengths 6.919, 6.919, 6.919 Å; angles 93.60, 93.60, 150.98 degrees
Positions (direct):
Al (0.000, 0.000, 0.000)
Al (0.334, 0.334, 0.669)
Al (0.334, 0.666, 0.000)
Al (0.666, 0.334, 0.000)
Al (0.666, 0.666, 0.331)
P (0.000, 0.266, 0.266)
P (0.000, 0.734, 0.734)
P (0.266, 0.000, 0.266)
P (0.734, 0.000, 0.734)

Calculated values
E_form (eV/atom): 0.02
Calculated volume (Å³/atom): 17.28
SG: I4/mmm

Entry from Alexandria via LeMat-Bulk: a PBEsol-optimized structure of LaIn2Au (SCAN).

Cell lengths 3.512, 5.275, 10.613 Å; angles 90.00, 90.00, 90.00 degrees
Positions (direct):
La (0.000, 0.000, 0.000)
La (0.500, 0.500, 0.500)
In (0.000, 0.500, 0.219)
In (0.000, 0.500, 0.781)
In (0.500, 0.000, 0.281)
In (0.500, 0.000, 0.719)
Au (0.000, 0.000, 0.500)
Au (0.500, 0.500, 0.000)

Calculated values
E_form (eV/atom): -0.51
Calculated volume (Å³/atom): 24.57
SG: Immm

Entry from Alexandria via LeMat-Bulk: a PBEsol-optimized structure of AlRuPb2 (SCAN).

Cell lengths 3.858, 5.033, 8.439 Å; angles 90.00, 90.00, 90.00 degrees
Positions (direct):
Al (0.000, 0.000, 0.000)
Al (0.500, 0.500, 0.500)
Ru (0.000, 0.000, 0.500)
Ru (0.500, 0.500, 0.000)
Pb (0.000, 0.500, 0.241)
Pb (0.000, 0.500, 0.759)
Pb (0.500, 0.000, 0.259)
Pb (0.500, 0.000, 0.741)

Calculated values
E_form (eV/atom): 0.51
Calculated volume (Å³/atom): 20.48
SG: Immm

Entry from Alexandria via LeMat-Bulk: a PBEsol-optimized structure of MnCrCo2 (SCAN).

Cell lengths 3.475, 3.475, 6.882 Å; angles 90.00, 90.00, 90.00 degrees
Positions (direct):
Mn (0.000, 0.000, 0.000)
Mn (0.500, 0.500, 0.500)
Cr (0.000, 0.500, 0.750)
Cr (0.500, 0.000, 0.250)
Co (0.000, 0.000, 0.500)
Co (0.000, 0.500, 0.250)
Co (0.500, 0.000, 0.750)
Co (0.500, 0.500, 0.000)

Calculated values
E_form (eV/atom): 0.06
Calculated volume (Å³/atom): 10.39
SG: I-4m2

Entry from Alexandria via LeMat-Bulk: a PBEsol-optimized structure of SrCuNi2 (SCAN).

Cell lengths 7.014, 4.049, 5.565 Å; angles 90.00, 114.74, 90.00 degrees
Positions (direct):
Sr (0.000, 0.000, 0.000)
Sr (0.500, 0.500, 0.000)
Cu (0.189, 0.000, 0.567)
Cu (0.689, 0.500, 0.567)
Ni (0.312, 0.500, 0.437)
Ni (0.493, 0.000, 0.480)
Ni (0.812, 0.000, 0.437)
Ni (0.993, 0.500, 0.480)

Calculated values
E_form (eV/atom): -0.03
Calculated volume (Å³/atom): 17.94
SG: Cm

Entry from Alexandria via LeMat-Bulk: a PBEsol-optimized structure of MnCd2Hg (SCAN).

Cell lengths 4.298, 4.298, 8.061 Å; angles 90.00, 90.00, 90.00 degrees
Positions (direct):
Mn (0.000, 0.000, 0.000)
Mn (0.500, 0.500, 0.500)
Cd (0.000, 0.000, 0.500)
Cd (0.000, 0.500, 0.250)
Cd (0.500, 0.000, 0.750)
Cd (0.500, 0.500, 0.000)
Hg (0.000, 0.500, 0.750)
Hg (0.500, 0.000, 0.250)

Calculated values
E_form (eV/atom): 0.02
Calculated volume (Å³/atom): 18.61
SG: I-4m2

| no. | calculated total energy (eV/f.u.) |
| --- | --- |
| 1 | -163.8 |
| 2 | -80.4 |
| 3 | -80.2 |
| 4 | -181.1 |
| 5 | -192.1 |
| 6 | -71.0 |
| 7 | -69.9 |
| 8 | -147.2 |